Density functional theory data (PBE) for a relaxed NbGe2Rh crystal.

Cell lengths 3.951, 3.951, 9.404 Å; angles 77.87, 77.87, 90.00 degrees
Positions (direct):
1 Ge 0.875 0.896 0.750
2 Ge 0.375 0.354 0.750
3 Nb 0.250 0.750 0.500
4 Ge 0.104 0.625 0.250
5 Rh 0.750 0.250 0.500
6 Rh 0.000 0.000 0.000
7 Ge 0.646 0.125 0.250
8 Nb 0.500 0.500 0.000

Calculated values
Formation energy   -0.01 eV per atom
Total DFT energy (no corrections)   -6.670 eV/atom